*1*
DFT (PBE+U) results for a geometry-optimized VCdP2O structure.

Properties
**ρ**: 4.00 g/cm3

Lattice parameters (Å, degrees): 5.006 5.006 3.994 90.00 90.00 90.00
Fractional coordinates of all 5 atoms:
V  0.000  0.000  0.000
Cd  0.500  0.500  0.500
P  0.000  0.500  0.500
P  0.500  0.000  0.500
O  0.500  0.500  0.000


*2*
DFT (PBE+U) results for a geometry-optimized VCdP2O structure.

Properties
**ρ**: 4.75 g/cm3

Lattice parameters (Å, degrees): 4.818 4.818 3.634 90.00 90.00 90.00
Fractional coordinates of all 5 atoms:
V  0.000  0.000  0.000
Cd  0.500  0.500  0.500
P  0.000  0.500  0.000
P  0.500  0.000  0.000
O  0.000  0.000  0.500


Most favorable first, least favorable last: *2*, *1*